PmPaCo PBE optimized geometry; M_tot = 0.0 μB/f.u.; energy above the lowest structure with this stoichiometry = 0.0393 eV per atom; V = 67.59 Å³/cell; energy relative to the elements = -0.127 eV/atom
1.0
-2.382 -2.422 0.601
2.273 -1.765 1.902
-1.638 4.908 3.383
Pm Co Pa
1 1 1
Direct
0.000 0.000 0.001
0.708 0.708 0.416
0.292 0.292 0.584